No. 1
This record from Alexandria describes a geometry-optimized CrCuTe structure. The functional is PBE.

Structure (POSCAR):
```
CrCuTe
1.0
4.106 0.000 0.000
0.000 4.106 0.000
0.000 0.000 6.150
Cr Te Cu
2 2 2
direct
0.000 0.000 0.500
0.500 0.500 0.500
0.000 0.500 0.216
0.500 0.000 0.784
0.000 0.500 0.775
0.500 0.000 0.225
```

Symmetry: P4/nmm (129)
Energy relative to the lowest polymorph listed for this composition: 0.0000 eV per atom
Calculated volume: 52 Å³/f.u.
E_form (uncorrected): 0.37 eV per formula unit
Density of states at the Fermi level: 0.72 states/eV per atom
Total moment: 0.7621 μB/atom



No. 2
This record from Alexandria describes a geometry-optimized Cr4Cu3Te8 structure. The functional is PBE.

Structure (POSCAR):
```
Cr4Cu3Te8
1.0
2.303 -6.047 4.728
-4.763 2.813 5.799
-3.044 -1.577 -7.244
Cr Cu Te
4 3 8
direct
0.755 0.510 0.755
0.765 0.505 0.260
0.246 0.505 0.740
0.755 0.999 0.245
0.374 0.874 0.500
0.603 0.103 0.500
0.128 0.128 0.000
0.979 0.745 0.234
0.499 0.719 0.220
0.511 0.745 0.766
0.499 0.278 0.780
0.996 0.732 0.736
0.996 0.259 0.264
0.000 0.261 0.739
0.522 0.261 0.261
```

Symmetry: Imm2 (44)
Calculated volume: 366 Å³/f.u.
E_form (uncorrected): -2.75 eV per formula unit
Density of states at the Fermi level: 0.32 states/eV per atom
Total moment: 0.7604 μB/atom



No. 3
This record from Alexandria describes a geometry-optimized Cr2CuTe2 structure. The functional is PBE.

Structure (POSCAR):
```
Cr2CuTe2
1.0
-2.042 2.042 6.738
2.042 -2.042 6.738
2.042 2.042 -6.738
Cr Cu Te
2 1 2
direct
0.250 0.750 0.500
0.750 0.250 0.500
0.000 0.000 0.000
0.626 0.626 0.000
0.374 0.374 0.000
```

Symmetry: I4/mmm (139)
Calculated volume: 112 Å³/f.u.
E_form (uncorrected): 2.54 eV per formula unit
Density of states at the Fermi level: 0.76 states/eV per atom
Total moment: 1.1837 μB/atom